{"formula": "PdWSe2Br", "functional": "PBE", "state": "relaxed", "cell": [[-0.5340, -4.6809, 1.2263], [4.1087, -1.0903, -2.3726], [2.7636, 0.8377, 4.4008]], "species": ["Se", "Se", "Br", "W", "Pd"], "fractional_positions": [[0.0000, 0.5000, 0.0000], [0.5000, 0.0000, 0.0000], [0.0000, 0.0000, 0.5000], [0.0000, 0.0000, 0.0000], [0.5000, 0.5000, 0.5000]], "e_tot_ev_per_atom": -4.8085, "relative_energy_mev_per_atom": 0, "dos_ef_per_ev_cell": 6.17, "raw_formation_energy_mev_per_atom": 549}


{"formula": "Ac12Zn6Ir", "functional": "PBE", "state": "relaxed", "cell": [[9.1221, -0.0002, -0.0003], [-1.3832, 9.0166, -0.0003], [-1.3832, -1.6115, 8.8714]], "species": ["Ac", "Ac", "Ac", "Ac", "Ac", "Ac", "Ac", "Ac", "Ac", "Ac", "Ac", "Ac", "Zn", "Zn", "Zn", "Zn", "Zn", "Zn", "Ir"], "fractional_positions": [[0.0770, 0.9723, 0.3174], [0.1871, 0.4234, 0.5656], [0.8129, 0.5766, 0.4344], [0.4344, 0.8129, 0.5766], [0.5656, 0.1871, 0.4234], [0.0277, 0.6826, 0.9230], [0.5766, 0.4344, 0.8129], [0.6826, 0.9230, 0.0277], [0.4234, 0.5656, 0.1871], [0.9230, 0.0277, 0.6826], [0.9723, 0.3174, 0.0770], [0.3174, 0.0770, 0.9723], [0.1325, 0.6343, 0.3066], [0.6343, 0.3066, 0.1325], [0.6934, 0.8675, 0.3657], [0.3657, 0.6934, 0.8675], [0.3066, 0.1325, 0.6343], [0.8675, 0.3657, 0.6934], [0.0000, 0.0000, 0.0000]], "e_tot_ev_per_atom": -3.5296, "dos_ef_per_ev_cell": 25.98, "e_form_ev_per_atom": -0.07}